Below is a relaxed structure of MnHSeO4, with properties calculated at the GGA+U level.

CIF file:
```
data_MnHSeO4
_space_group_name_H-M_alt 'C 1 2/c 1'
_space_group_IT_number 15
_cell_length_a 7.164
_cell_length_b 8.499
_cell_length_c 6.846
_cell_angle_alpha 90.00
_cell_angle_beta 114.20
_cell_angle_gamma 90.00
loop_
_space_group_symop_operation_xyz
'x,y,z'
'-x,-y,-z'
'-x,y,-z+1/2'
'x,-y,z+1/2'
'x+1/2,y+1/2,z'
'-x+1/2,-y+1/2,-z'
'-x+1/2,y+1/2,-z+1/2'
'x+1/2,-y+1/2,z+1/2'
loop_
_atom_site_label
_atom_site_type_symbol
_atom_site_fract_x
_atom_site_fract_y
_atom_site_fract_z
_atom_site_occupancy
Mn1 Mn 0.000 0.000 0.000 1
H1 H 0.000 0.057 0.250 1
Se1 Se 0.000 0.328 0.750 1
O1 O 0.095 0.214 0.609 1
O2 O 0.188 0.439 0.917 1
```

Properties
- VASP energy (eV/f.u.) = -38.53
- V (Å³ per cell) = 380.24